PmHoPt: optimized geometry, GGA-PBE.

Calculated values
Size of the total moment in μB per cell: 0.000
Density in g cm⁻³: 10.0
ΔE_f in eV per atom: -0.810
Density of states at the Fermi level in states/eV per cell: 2.06
ΔE to the lowest computed polymorph in eV per formula unit: 0.25

abc: 4.920 4.920 4.920
angles: 60.00 60.00 60.00
Element x y z (fractional)
Pm: 0.000 0.000 0.000
Ho: 0.500 0.500 0.500
Pt: 0.250 0.250 0.250

Pm2Ho5Pt4: optimized geometry, GGA-PBE.

Calculated values
Size of the total moment in μB per cell: 0.000
Density in g cm⁻³: 10.4
ΔE_f in eV per atom: -0.779
Density of states at the Fermi level in states/eV per cell: 8.39

abc: 11.713 11.713 6.899
angles: 96.74 96.74 18.72
Element x y z (fractional)
Pm: 0.103 0.103 0.407
Pm: 0.897 0.897 0.593
Ho: 0.133 0.133 0.908
Ho: 0.272 0.272 0.729
Ho: 0.500 0.500 0.000
Ho: 0.728 0.728 0.271
Ho: 0.867 0.867 0.092
Pt: 0.022 0.022 0.712
Pt: 0.319 0.319 0.345
Pt: 0.681 0.681 0.655
Pt: 0.978 0.978 0.288

PmHo3Pt2: optimized geometry, GGA-PBE.

Calculated values
Size of the total moment in μB per cell: 0.000
Density in g cm⁻³: 11.3
ΔE_f in eV per atom: -0.942
Density of states at the Fermi level in states/eV per cell: 11.73
ΔE to the lowest computed polymorph in eV per formula unit: 0.00

abc: 4.781 8.829 7.179
angles: 90.00 90.00 90.00
Element x y z (fractional)
Pm: 0.000 0.081 0.000
Pm: 0.000 0.919 0.500
Ho: 0.000 0.334 0.635
Ho: 0.000 0.666 0.135
Ho: 0.500 0.173 0.348
Ho: 0.500 0.420 0.981
Ho: 0.500 0.580 0.481
Ho: 0.500 0.827 0.848
Pt: 0.000 0.346 0.236
Pt: 0.000 0.654 0.736
Pt: 0.500 0.162 0.745
Pt: 0.500 0.838 0.245

Pm2Ho2Pt15: optimized geometry, GGA-PBE.

Calculated values
Size of the total moment in μB per cell: 0.000
Density in g cm⁻³: 16.8
ΔE_f in eV per atom: -0.733
Density of states at the Fermi level in states/eV per cell: 17.10

abc: 7.105 7.105 7.105
angles: 82.34 82.34 82.34
Element x y z (fractional)
Pm: 0.142 0.142 0.142
Pm: 0.858 0.858 0.858
Ho: 0.393 0.393 0.393
Ho: 0.607 0.607 0.607
Pt: 0.000 0.500 0.500
Pt: 0.153 0.153 0.660
Pt: 0.153 0.660 0.153
Pt: 0.188 0.500 0.812
Pt: 0.188 0.812 0.500
Pt: 0.340 0.847 0.847
Pt: 0.500 0.000 0.500
Pt: 0.500 0.188 0.812
Pt: 0.500 0.500 0.000
Pt: 0.500 0.812 0.188
Pt: 0.660 0.153 0.153
Pt: 0.812 0.188 0.500
Pt: 0.812 0.500 0.188
Pt: 0.847 0.340 0.847
Pt: 0.847 0.847 0.340

PmHoPt: optimized geometry, GGA-PBE.

Calculated values
Size of the total moment in μB per cell: 0.000
Density in g cm⁻³: 10.5
ΔE_f in eV per atom: -0.664
Density of states at the Fermi level in states/eV per cell: 2.81
ΔE to the lowest computed polymorph in eV per formula unit: 0.69

abc: 4.662 4.662 4.237
angles: 90.00 90.00 120.00
Element x y z (fractional)
Pm: 0.000 0.000 0.000
Ho: 0.333 0.667 0.520
Pt: 0.667 0.333 0.320

Pm2Ho3Pt4: optimized geometry, GGA-PBE.

Calculated values
Size of the total moment in μB per cell: 0.000
Density in g cm⁻³: 11.7
ΔE_f in eV per atom: -1.018
Density of states at the Fermi level in states/eV per cell: 12.82
ΔE to the lowest computed polymorph in eV per formula unit: 1.33

abc: 8.643 8.643 7.761
angles: 90.00 90.00 129.86
Element x y z (fractional)
Pm: 0.100 0.900 0.901
Pm: 0.400 0.600 0.401
Pm: 0.600 0.400 0.599
Pm: 0.900 0.100 0.099
Ho: 0.000 0.000 0.500
Ho: 0.039 0.461 0.750
Ho: 0.461 0.039 0.250
Ho: 0.500 0.500 0.000
Ho: 0.539 0.961 0.750
Ho: 0.961 0.539 0.250
Pt: 0.194 0.806 0.549
Pt: 0.217 0.283 0.750
Pt: 0.283 0.217 0.250
Pt: 0.306 0.694 0.049
Pt: 0.694 0.306 0.951
Pt: 0.717 0.783 0.750
Pt: 0.783 0.717 0.250
Pt: 0.806 0.194 0.451

Pm2HoPt: optimized geometry, GGA-PBE.

Calculated values
Size of the total moment in μB per cell: 0.000
Density in g cm⁻³: 9.3
ΔE_f in eV per atom: -0.663
Density of states at the Fermi level in states/eV per cell: 15.33
ΔE to the lowest computed polymorph in eV per formula unit: 0.00

abc: 7.126 9.932 6.549
angles: 90.00 90.00 90.00
Element x y z (fractional)
Pm: 0.182 0.061 0.177
Pm: 0.182 0.439 0.177
Pm: 0.318 0.561 0.677
Pm: 0.318 0.939 0.677
Pm: 0.682 0.061 0.323
Pm: 0.682 0.439 0.323
Pm: 0.818 0.561 0.823
Pm: 0.818 0.939 0.823
Ho: 0.031 0.250 0.642
Ho: 0.469 0.750 0.142
Ho: 0.531 0.250 0.858
Ho: 0.969 0.750 0.358
Pt: 0.114 0.750 0.952
Pt: 0.386 0.250 0.452
Pt: 0.614 0.750 0.548
Pt: 0.886 0.250 0.048

PmHo4Pt4: optimized geometry, GGA-PBE.

Calculated values
Size of the total moment in μB per cell: 0.000
Density in g cm⁻³: 11.2
ΔE_f in eV per atom: -1.054
Density of states at the Fermi level in states/eV per cell: 13.68

abc: 9.079 9.079 5.710
angles: 90.00 90.00 90.00
Element x y z (fractional)
Pm: 0.250 0.250 0.250
Pm: 0.750 0.750 0.750
Ho: 0.081 0.651 0.168
Ho: 0.151 0.919 0.668
Ho: 0.349 0.581 0.668
Ho: 0.419 0.849 0.168
Ho: 0.581 0.151 0.832
Ho: 0.651 0.419 0.332
Ho: 0.849 0.081 0.332
Ho: 0.919 0.349 0.832
Pt: 0.040 0.623 0.669
Pt: 0.123 0.960 0.169
Pt: 0.377 0.540 0.169
Pt: 0.460 0.877 0.669
Pt: 0.540 0.123 0.331
Pt: 0.623 0.460 0.831
Pt: 0.877 0.040 0.831
Pt: 0.960 0.377 0.331

PmHoPt: optimized geometry, GGA-PBE.

Calculated values
Size of the total moment in μB per cell: 0.000
Density in g cm⁻³: 10.1
ΔE_f in eV per atom: -0.895
Density of states at the Fermi level in states/eV per cell: 27.70
ΔE to the lowest computed polymorph in eV per formula unit: 0.00

abc: 6.911 13.395 7.167
angles: 90.00 90.00 90.00
Element x y z (fractional)
Pm: 0.200 0.198 0.105
Pm: 0.200 0.302 0.605
Pm: 0.300 0.698 0.105
Pm: 0.300 0.802 0.605
Pm: 0.700 0.198 0.395
Pm: 0.700 0.302 0.895
Pm: 0.800 0.698 0.395
Pm: 0.800 0.802 0.895
Ho: 0.003 0.531 0.760
Ho: 0.003 0.969 0.260
Ho: 0.497 0.031 0.760
Ho: 0.497 0.469 0.260
Ho: 0.503 0.531 0.740
Ho: 0.503 0.969 0.240
Ho: 0.997 0.031 0.740
Ho: 0.997 0.469 0.240
Pt: 0.227 0.602 0.459
Pt: 0.227 0.898 0.959
Pt: 0.273 0.102 0.459
Pt: 0.273 0.398 0.959
Pt: 0.727 0.602 0.041
Pt: 0.727 0.898 0.541
Pt: 0.773 0.102 0.041
Pt: 0.773 0.398 0.541

Pm2HoPt: optimized geometry, GGA-PBE.

Calculated values
Size of the total moment in μB per cell: 0.000
Density in g cm⁻³: 9.3
ΔE_f in eV per atom: 0.127
Density of states at the Fermi level in states/eV per cell: 3.34
ΔE to the lowest computed polymorph in eV per formula unit: 3.16

abc: 11.454 11.454 11.454
angles: 17.33 17.33 17.33
Element x y z (fractional)
Pm: 0.079 0.079 0.079
Pm: 0.921 0.921 0.921
Ho: 0.500 0.500 0.500
Pt: 0.000 0.000 0.000

PmHoPt6: optimized geometry, GGA-PBE.

Calculated values
Size of the total moment in μB per cell: 0.000
Density in g cm⁻³: 17.3
ΔE_f in eV per atom: -0.978
Density of states at the Fermi level in states/eV per cell: 7.21

abc: 4.146 4.146 8.288
angles: 90.00 90.00 90.00
Element x y z (fractional)
Pm: 0.000 0.000 0.000
Ho: 0.000 0.000 0.500
Pt: 0.000 0.500 0.256
Pt: 0.000 0.500 0.744
Pt: 0.500 0.000 0.256
Pt: 0.500 0.000 0.744
Pt: 0.500 0.500 0.000
Pt: 0.500 0.500 0.500

PmHoRuPt: optimized geometry, GGA-PBE.

Calculated values
Size of the total moment in μB per cell: 0.000
Density in g cm⁻³: 11.9
ΔE_f in eV per atom: -0.697
Density of states at the Fermi level in states/eV per cell: 2.30
ΔE to the lowest computed polymorph in eV per formula unit: 0.20

abc: 4.926 4.926 4.926
angles: 60.00 60.00 60.00
Element x y z (fractional)
Pm: 0.000 0.000 0.000
Ho: 0.500 0.500 0.500
Ru: 0.250 0.250 0.250
Pt: 0.750 0.750 0.750